Density functional theory data (PBE with a Hubbard U) for BiWN2F after structural relaxation.

Unit cell a=4.153 b=4.153 c=4.156 alpha=90.00 beta=90.00 gamma=90.00
Space group P4/mmm (No. 123)
One atom of each set of equivalent atoms:
Bi 0.000 0.000 0.000
W 0.500 0.500 0.500
N 0.000 0.500 0.500
F 0.500 0.500 0.000

Summary:
Energy, eV per atom: -6.033
DOS at the Fermi energy, states/eV/f.u.: 2.19
Distance to the lowest polymorph of the same formula, eV/atom: 0.0000